w) Density functional theory data (PBE) for crystalline HgMoP2 at its relaxed geometry.

```
8
Lattice="-5.731 -0.518 -1.016 -0.929 -0.899 5.699 -3.944 4.634 3.084" Properties=species:S:1:pos:R:3 pbc="T T T"
P -4.420 0.746 0.896
P -5.498 2.903 4.332
P -8.743 2.277 6.149
P -2.547 0.508 4.159
Hg 0.000 0.000 0.000
Hg -6.503 1.704 2.205
Mo -4.101 1.513 5.562
Mo -3.330 -0.708 2.342
```


x) Density functional theory data (PBE) for crystalline HgMoP2 at its relaxed geometry.

```
4
Lattice="-5.144 2.835 0.357 -0.003 -1.144 5.773 -0.136 2.102 1.674" Properties=species:S:1:pos:R:3 pbc="T T T"
P 0.000 0.000 0.000
P -2.574 0.846 3.065
Mo -0.070 0.479 3.723
Hg -2.640 2.469 1.016
```


y) Density functional theory data (PBE) for crystalline HgMoP2 at its relaxed geometry.

```
4
Lattice="-5.533 5.716 0.373 -7.227 3.157 1.115 -5.547 4.638 3.341" Properties=species:S:1:pos:R:3 pbc="T T T"
Mo -13.467 9.939 3.553
Hg -9.204 6.793 2.428
P -4.839 3.571 1.276
P -18.256 13.474 4.816
```


z) Density functional theory data (PBE) for crystalline HgMoP2 at its relaxed geometry.

```
4
Lattice="-4.437 -0.615 1.526 -2.281 -1.045 -4.012 3.911 -2.064 1.683" Properties=species:S:1:pos:R:3 pbc="T T T"
Mo -1.942 -1.755 0.983
Hg -0.864 -1.970 -1.786
P -3.359 -0.830 -1.243
P 0.000 0.000 0.000
```


Preferred: w); penalty for the next structure: 108 meV per atom.